## CdAgAu6 (PBE)

Data for a relaxed structure of CdAgAu6.

ΔE_f	-71	meV per atom
calculated volume	18.33	Å³ per atom
energy	-24.00	eV/cell
theoretical density	15.88	g/cm3
size of the total moment	0.000	μB/f.u.

Cell and atoms, written as extended XYZ:
```
8
Lattice="4.8391 0.0000 0.0000 0.0000 5.2154 -2.7745 0.0000 -0.1787 5.9048" Properties=species:S:1:pos:R:3 pbc="T T T"
Au 2.4196 4.7605 -2.0425
Au 2.4196 4.6705 0.9001
Au 0.0000 2.8766 3.7831
Au 0.0000 0.3711 2.2259
Au 0.0000 2.9658 0.8452
Au 2.4196 2.1619 -0.6590
Ag 2.4196 2.0657 2.2936
Cd 0.0000 0.2733 5.1775
```

=====

## Cd5Ag2Au (PBE)

Data for a relaxed structure of Cd5Ag2Au.

ΔE_f	-35	meV per atom
calculated volume	20.73	Å³ per atom
energy	-27.67	eV/cell
theoretical density	9.76	g/cm3
E above lowest polymorph	2.9	kJ/mol of formula units
size of the total moment	0.000	μB/f.u.

Cell and atoms, written as extended XYZ:
```
16
Lattice="7.3462 0.0000 0.0000 0.0000 7.3462 0.0000 -3.6731 -3.6731 6.1461" Properties=species:S:1:pos:R:3 pbc="T T T"
Cd 1.1421 4.8152 1.9661
Cd 4.8152 -1.1421 1.9661
Cd 0.0000 0.0000 0.0000
Cd 2.5310 1.1421 1.9661
Cd 2.5310 -1.1421 4.1800
Cd -1.1421 4.8152 4.1800
Cd 4.8152 1.1421 4.1800
Cd 1.1421 2.5310 4.1800
Cd -1.1421 2.5310 1.9661
Cd 3.6731 3.6731 0.0000
Au 0.0000 0.0000 3.0730
Au 3.6731 3.6731 3.0730
Ag 1.0110 2.6621 0.0000
Ag 4.6841 1.0110 0.0000
Ag 2.6621 6.3353 0.0000
Ag 6.3352 4.6841 0.0000
```

=====

## Cd10AgAu4 (PBE)

Data for a relaxed structure of Cd10AgAu4.

ΔE_f	-111	meV per atom
calculated volume	23.86	Å³ per atom
energy	-26.78	eV/cell
theoretical density	9.37	g/cm3
size of the total moment	0.000	μB/f.u.

Cell and atoms, written as extended XYZ:
```
15
Lattice="0.2611 2.8416 3.8356 3.4290 -0.6919 3.2585 12.1127 11.9541 -6.7013" Properties=species:S:1:pos:R:3 pbc="T T T"
Au 4.6344 3.6784 2.9179
Au 11.1683 10.4253 -2.5252
Au 5.5832 5.2117 -1.2618
Au 10.2195 8.8921 1.6545
Cd 11.9302 10.6585 0.2294
Cd 10.3954 10.1808 -5.2707
Cd 3.8725 3.4452 0.1633
Cd 8.5072 7.1239 3.0810
Cd 7.2955 6.9798 -2.6883
Cd 5.4073 3.9229 5.6634
Cd 12.8781 12.1909 -3.9496
Cd 9.4536 8.6547 -1.0968
Cd 6.3491 5.4490 1.4895
Cd 2.9247 1.9129 4.3423
Ag 0.0000 0.0000 0.0000
```

=====

## Cd4Ag4Au (PBE)

Data for a relaxed structure of Cd4Ag4Au.

ΔE_f	-74	meV per atom
calculated volume	19.23	Å³ per atom
energy	-19.01	eV/cell
theoretical density	10.34	g/cm3
size of the total moment	0.000	μB/f.u.

Cell and atoms, written as extended XYZ:
```
9
Lattice="-1.7707 0.1204 -3.8260 4.6595 -1.7857 -4.5373 -2.6348 -6.0716 -1.2963" Properties=species:S:1:pos:R:3 pbc="T T T"
Au 0.0000 0.0000 0.0000
Ag 2.2060 -3.2265 -3.4472
Ag 0.7487 -5.1740 -5.1587
Ag -1.9521 -4.5103 -6.2124
Ag -0.4948 -2.5628 -4.5010
Cd 1.7215 -5.7558 -7.9519
Cd -1.4676 -1.9810 -1.7078
Cd 1.9283 -1.1111 -5.5767
Cd -1.6744 -6.6257 -4.0829
```

=====

## Cd6Ag12Au (PBE)

Data for a relaxed structure of Cd6Ag12Au.

ΔE_f	-11	meV per atom
calculated volume	19.46	Å³ per atom
energy	-43.19	eV/cell
theoretical density	9.73	g/cm3
size of the total moment	0.000	μB/f.u.

Cell and atoms, written as extended XYZ:
```
19
Lattice="-3.4966 -4.9738 3.8155 -3.1043 -2.3736 -6.0209 5.4740 -4.5381 -0.9813" Properties=species:S:1:pos:R:3 pbc="T T T"
Ag -1.4754 -1.8639 -1.6801
Ag -2.2474 -4.6021 -1.7566
Ag 1.3980 -2.2772 -1.1549
Ag 0.8636 -4.6717 -2.5972
Ag -2.5249 -9.6083 -2.0318
Ag -0.5584 -9.2147 -4.1954
Ag 1.1206 -7.2834 -1.4301
Ag -0.0072 -5.3981 0.4200
Ag -1.9904 -7.2138 -0.5895
Ag 0.3486 -10.0216 -1.5066
Ag -1.1196 -6.4874 -3.6068
Ag -0.5684 -2.6708 1.0087
Cd -2.7779 -4.8026 1.0045
Cd 1.6510 -7.0829 -4.1913
Cd -1.1515 -3.5555 -4.2217
Cd -3.7941 -6.9305 -2.8344
Cd 2.6672 -4.9550 -0.3523
Cd 0.0247 -8.3300 1.0350
Au 0.0000 0.0000 0.0000
```

=====

## CdAgAu (PBE)

Data for a relaxed structure of CdAgAu.

ΔE_f	-79	meV per atom
calculated volume	18.86	Å³ per atom
energy	-21.85	eV/cell
theoretical density	12.24	g/cm3
E above lowest polymorph	9.9	kJ/mol of formula units
size of the total moment	0.000	μB/f.u.

Cell and atoms, written as extended XYZ:
```
9
Lattice="2.9055 0.0000 0.0000 0.0000 8.2141 0.0000 0.0000 -4.1071 7.1136" Properties=species:S:1:pos:R:3 pbc="T T T"
Au 0.0000 -2.6346 4.5632
Au 0.0000 5.2691 0.0000
Au 0.0000 1.4725 2.5504
Cd 1.4528 4.1071 2.3712
Cd 1.4528 0.0000 4.7424
Cd 0.0000 0.0000 0.0000
Ag 1.4528 2.5345 0.0000
Ag 1.4528 2.8398 4.9187
Ag 1.4528 -1.2672 2.1949
```

=====

## Cd12Ag5Au2 (PBE)

Data for a relaxed structure of Cd12Ag5Au2.

ΔE_f	-63	meV per atom
calculated volume	20.55	Å³ per atom
energy	-32.99	eV/cell
theoretical density	9.71	g/cm3
E above lowest polymorph	0.0	kJ/mol of formula units
size of the total moment	0.000	μB/f.u.

Cell and atoms, written as extended XYZ:
```
19
Lattice="4.4327 0.0827 1.1175 0.7530 8.8373 5.9918 -0.2752 1.1047 10.6429" Properties=species:S:1:pos:R:3 pbc="T T T"
Cd 0.7816 1.1428 6.3216
Cd 4.3303 5.8990 10.7647
Cd 2.5805 2.3022 8.5407
Cd 3.6361 5.1767 13.6591
Cd 1.2743 4.8480 4.0930
Cd 4.0282 1.0797 2.6856
Cd 4.1288 8.8819 11.4305
Cd 2.3300 7.7226 9.2114
Cd 1.8496 4.1098 11.3844
Cd 3.0609 5.9149 6.3677
Cd 0.8823 8.9450 15.0665
Cd 0.5802 4.1257 6.9874
Ag 1.4363 1.9707 3.5939
Ag 3.4742 8.0541 14.1582
Ag 1.6700 6.9807 11.9749
Ag 2.2163 0.0413 0.5587
Ag 3.2405 3.0440 5.7772
Au 0.5086 6.9995 7.0972
Au -0.0308 2.9426 9.5374
```

=====

## Cd6Ag4Au (PBE)

Data for a relaxed structure of Cd6Ag4Au.

ΔE_f	123	meV per atom
calculated volume	23.33	Å³ per atom
energy	-18.82	eV/cell
theoretical density	8.43	g/cm3
size of the total moment	0.000	μB/f.u.

Cell and atoms, written as extended XYZ:
```
11
Lattice="6.3034 0.0000 -2.6414 -1.1069 6.2055 -2.6414 -0.6705 -0.8006 7.2419" Properties=species:S:1:pos:R:3 pbc="T T T"
Cd 4.5065 5.3814 -2.3651
Cd 1.9926 2.3794 0.1905
Cd -0.5158 3.0254 3.0464
Cd -0.5534 3.1027 -1.3207
Cd 3.1517 0.0000 -1.3207
Cd 3.0690 0.0234 3.0464
Au 2.5983 3.1027 -2.6414
Ag 0.3799 5.7081 -1.7631
Ag -0.2540 -0.3033 5.5660
Ag 3.3735 4.0285 1.8783
Ag 5.5527 1.3764 -1.7631
```

=====

## Cd4Ag15Au (PBE)

Data for a relaxed structure of Cd4Ag15Au.

ΔE_f	-28	meV per atom
calculated volume	18.46	Å³ per atom
energy	-50.26	eV/cell
theoretical density	10.19	g/cm3
size of the total moment	0.000	μB/f.u.

Cell and atoms, written as extended XYZ:
```
20
Lattice="4.1327 0.0000 0.0000 0.0000 4.1327 0.0000 0.0000 0.0000 21.6133" Properties=species:S:1:pos:R:3 pbc="T T T"
Ag 0.0000 2.0663 2.1089
Ag 2.0663 2.0663 12.9824
Ag 2.0663 2.0663 17.3371
Ag 0.0000 2.0663 10.8066
Ag 0.0000 2.0663 6.4500
Ag 2.0663 0.0000 15.1633
Ag 2.0663 0.0000 19.5044
Ag 2.0663 0.0000 2.1089
Ag 2.0663 0.0000 10.8066
Ag 2.0663 2.0663 4.2761
Ag 0.0000 2.0663 15.1633
Ag 2.0663 2.0663 8.6309
Ag 2.0663 0.0000 6.4500
Ag 0.0000 2.0663 19.5044
Ag 2.0663 2.0663 0.0000
Cd 0.0000 0.0000 17.3548
Cd 0.0000 0.0000 12.9871
Cd 0.0000 0.0000 4.2585
Cd 0.0000 0.0000 8.6262
Au 0.0000 0.0000 0.0000
```

=====

## Cd2Ag3Au4 (PBE)

Data for a relaxed structure of Cd2Ag3Au4.

ΔE_f	-39	meV per atom
calculated volume	19.20	Å³ per atom
energy	-47.69	eV/cell
theoretical density	12.84	g/cm3
E above lowest polymorph	60.6	kJ/mol of formula units
size of the total moment	0.000	μB/f.u.

Cell and atoms, written as extended XYZ:
```
18
Lattice="5.1447 -0.4894 -0.3504 -0.3156 8.3093 -0.4443 -0.3156 2.2568 8.0093" Properties=species:S:1:pos:R:3 pbc="T T T"
Cd 4.8024 2.9675 0.9481
Cd 2.2835 7.9783 4.5357
Cd -0.2888 7.1092 6.2666
Cd 2.2300 2.0984 2.6789
Ag 4.9344 0.1835 0.9481
Ag 2.3620 1.2013 0.0435
Ag -0.4208 9.8932 6.2666
Ag 0.9706 5.3705 3.4018
Ag 2.1516 8.8753 7.1712
Ag 3.5430 4.7061 3.8128
Au 4.7064 3.8730 6.3879
Au 4.7205 7.4502 3.1300
Au 2.3654 4.4684 0.9951
Au -0.2069 2.6265 4.0847
Au 2.1481 5.6083 6.2195
Au 2.3795 2.5368 5.4312
Au -0.1928 6.2037 0.8267
Au 2.1340 7.5399 1.7834
```

=====

## CdAg9Au2 (PBE)

Data for a relaxed structure of CdAg9Au2.

ΔE_f	-34	meV per atom
calculated volume	18.11	Å³ per atom
energy	-33.53	eV/cell
theoretical density	11.29	g/cm3
size of the total moment	0.000	μB/f.u.

Cell and atoms, written as extended XYZ:
```
12
Lattice="-2.3948 3.1059 1.3867 0.2034 -1.5621 3.8501 10.2492 6.8954 2.2564" Properties=species:S:1:pos:R:3 pbc="T T T"
Ag 3.9272 5.0006 1.8215
Ag 5.2263 2.6666 3.0532
Ag 7.3098 7.2763 2.5662
Ag 8.6089 4.9423 3.7979
Ag 0.5446 2.7249 1.0769
Ag 2.3373 3.0815 3.3742
Ag 5.7204 5.3576 4.1190
Ag 1.8437 0.3909 2.3085
Ag -1.0957 0.7719 2.6184
Au 3.4383 2.3132 0.7570
Au 6.8109 4.5822 1.4994
Cd 0.0000 0.0000 0.0000
```

=====

## Cd4Ag7Au (PBE)

Data for a relaxed structure of Cd4Ag7Au.

ΔE_f	91	meV per atom
calculated volume	20.87	Å³ per atom
energy	-25.80	eV/cell
theoretical density	9.29	g/cm3
E above lowest polymorph	158.8	kJ/mol of formula units
size of the total moment	0.000	μB/f.u.

Cell and atoms, written as extended XYZ:
```
12
Lattice="-1.4737 -4.4094 2.2041 6.4291 -1.7166 6.8699 -3.5335 0.5144 4.6718" Properties=species:S:1:pos:R:3 pbc="T T T"
Cd 1.0921 -1.3986 3.9375
Cd 2.7732 -2.7768 8.3096
Cd 0.3299 -4.2129 9.8083
Cd -1.3512 -2.8347 5.4362
Ag 1.4532 -3.5333 5.9137
Ag 2.9939 -4.7977 10.4196
Ag 3.6811 -1.3902 5.6854
Ag -1.5719 -0.8138 3.3262
Ag -0.0313 -2.0782 7.8321
Ag -0.7368 -2.2047 1.1020
Ag -2.2591 -4.2213 8.0604
Au 0.0000 0.0000 0.0000
```

=====

## CdAg12Au6 (PBE)

Data for a relaxed structure of CdAg12Au6.

ΔE_f	28	meV per atom
calculated volume	18.79	Å³ per atom
energy	-54.26	eV/cell
theoretical density	12.04	g/cm3
size of the total moment	0.000	μB/f.u.

Cell and atoms, written as extended XYZ:
```
19
Lattice="7.2979 -0.2553 -0.3059 -1.3588 7.1748 -0.3059 -1.3588 -1.5831 7.0047" Properties=species:S:1:pos:R:3 pbc="T T T"
Au 4.1529 4.8449 3.5472
Au 0.4274 0.4915 2.8457
Au 4.1593 2.6254 5.3954
Au 0.4211 2.7111 0.9975
Au 2.6159 0.8336 0.9921
Au 1.9644 4.5028 5.4008
Ag 4.7827 2.1073 2.5186
Ag -1.3565 0.7269 5.0767
Ag 1.3522 5.0460 2.5235
Ag -0.4342 5.9397 4.7705
Ag 0.9242 5.2149 -0.3036
Ag 5.0145 -0.6032 1.6224
Ag 1.3579 1.5762 5.4157
Ag 3.2225 3.7602 0.9772
Ag -0.2024 3.2291 3.8743
Ag 5.9368 4.6095 1.3162
Ag 3.2282 0.2904 3.8694
Ag 3.6562 0.1215 6.6965
Cd 0.0000 0.0000 0.0000
```

=====

## Cd3Ag5Au (PBE)

Data for a relaxed structure of Cd3Ag5Au.

ΔE_f	161	meV per atom
calculated volume	21.32	Å³ per atom
energy	-37.67	eV/cell
theoretical density	9.29	g/cm3
E above lowest polymorph	177.1	kJ/mol of formula units
size of the total moment	0.000	μB/f.u.

Cell and atoms, written as extended XYZ:
```
18
Lattice="-2.4565 4.5177 -6.5089 -3.5670 -6.7155 -3.3149 -1.7447 2.3206 7.5550" Properties=species:S:1:pos:R:3 pbc="T T T"
Ag -3.5125 3.5911 0.6367
Ag -5.8473 -1.8935 -6.4977
Ag 0.0000 0.0000 0.0000
Ag -4.3141 1.9245 -5.5033
Ag -2.7225 0.3498 -1.9112
Ag -1.9208 2.0163 4.2289
Ag -5.0457 -0.2269 -0.3577
Ag -4.2557 -3.4682 -2.9055
Ag -3.4541 -1.8016 3.2345
Ag -3.0117 -1.0989 -4.9119
Au -3.6064 2.8697 -1.9329
Au -4.1617 -2.7469 -0.3359
Cd -5.3899 -0.4880 -3.5904
Cd -4.3662 -0.1170 -7.8033
Cd -4.1105 -4.2068 -5.4526
Cd -1.9130 2.0090 -4.3712
Cd -2.3782 0.6109 1.3215
Cd -1.6572 -2.0808 -2.0205
```

=====

## Cd7Ag2Au3 (PBE)

Data for a relaxed structure of Cd7Ag2Au3.

ΔE_f	-29	meV per atom
calculated volume	21.59	Å³ per atom
energy	-22.29	eV/cell
theoretical density	10.21	g/cm3
size of the total moment	0.000	μB/f.u.

Cell and atoms, written as extended XYZ:
```
12
Lattice="4.1354 0.0000 0.0000 0.0000 4.4110 -0.8761 0.0000 0.5085 14.1030" Properties=species:S:1:pos:R:3 pbc="T T T"
Cd 0.0000 2.6217 1.6576
Cd 0.0000 1.5160 7.6331
Cd 2.0677 4.4812 11.0199
Cd 0.0000 2.2978 11.5694
Cd 2.0677 0.4383 2.2070
Cd 0.0000 3.4035 5.5939
Cd 0.0000 0.0000 0.0000
Ag 0.0000 0.8578 4.3191
Ag 0.0000 4.0617 8.9079
Au 2.0677 1.9019 9.5759
Au 2.0677 3.0177 3.6511
Au 2.0677 2.2055 -0.4380
```

=====

## Cd7AgAu2 (PBE)

Data for a relaxed structure of Cd7AgAu2.

ΔE_f	42	meV per atom
calculated volume	26.73	Å³ per atom
energy	-15.39	eV/cell
theoretical density	8.00	g/cm3
E above lowest polymorph	122.5	kJ/mol of formula units
size of the total moment	0.000	μB/f.u.

Cell and atoms, written as extended XYZ:
```
10
Lattice="5.0079 0.0000 0.0000 0.0000 7.7950 -0.1639 0.0000 -3.5858 6.9233" Properties=species:S:1:pos:R:3 pbc="T T T"
Cd 2.5040 4.7012 4.7281
Cd 0.0000 -1.1233 5.3898
Cd 2.5040 2.1693 6.3048
Cd 2.5040 2.0399 0.4546
Cd 0.0000 5.3325 1.3696
Cd 2.5040 -0.4920 2.0313
Cd 2.5040 2.1046 3.3797
Ag 0.0000 0.0000 0.0000
Au 2.5040 4.4297 1.9318
Au 2.5040 -0.2205 4.8276
```

=====

## Cd3Ag2Au3 (PBE)

Data for a relaxed structure of Cd3Ag2Au3.

ΔE_f	-80	meV per atom
calculated volume	19.05	Å³ per atom
energy	-18.92	eV/cell
theoretical density	12.47	g/cm3
size of the total moment	0.000	μB/f.u.

Cell and atoms, written as extended XYZ:
```
8
Lattice="-1.3350 -3.9751 2.3870 3.1396 1.1075 3.6003 -5.5490 4.7707 -0.0356" Properties=species:S:1:pos:R:3 pbc="T T T"
Cd -4.1051 0.4771 3.3754
Cd 0.3607 1.4259 2.5763
Cd 0.0000 0.0000 0.0000
Ag -2.3204 1.6734 1.4890
Ag -1.4240 0.2297 4.4628
Au -1.8498 -1.1455 1.9345
Au -1.8946 3.0486 4.0173
Au 0.9023 -1.4338 2.9937
```

=====

## Cd11Ag4Au9 (PBE)

Data for a relaxed structure of Cd11Ag4Au9.

ΔE_f	-122	meV per atom
calculated volume	19.52	Å³ per atom
energy	-53.90	eV/cell
theoretical density	12.20	g/cm3
size of the total moment	0.000	μB/f.u.

Cell and atoms, written as extended XYZ:
```
24
Lattice="3.2628 0.0000 0.0000 0.0000 11.4945 -4.5464 0.0000 0.3365 12.3563" Properties=species:S:1:pos:R:3 pbc="T T T"
Au 1.6314 0.2154 2.4585
Au 1.6314 7.0330 -0.6617
Au 1.6314 11.6156 5.3514
Au 1.6314 2.3454 -0.7681
Au 1.6314 2.1554 6.7272
Au 1.6314 9.6756 1.0827
Au 1.6314 4.7980 8.4717
Au 1.6314 5.9155 3.9050
Au 1.6314 9.4856 8.5781
Ag 1.6314 8.7483 3.8679
Ag 1.6314 3.0827 3.9421
Ag 1.6314 4.8364 1.2855
Ag 1.6314 6.9946 6.5244
Cd 0.0000 9.3226 6.1541
Cd 0.0000 0.0000 0.0000
Cd 0.0000 2.5084 1.6558
Cd 0.0000 4.5461 5.9794
Cd 0.0000 2.4603 9.1392
Cd 0.0000 4.6740 -1.2420
Cd 0.0000 7.1570 9.0520
Cd 0.0000 9.3707 -1.3292
Cd 0.0000 11.1363 3.0239
Cd 0.0000 0.6947 4.7861
Cd 0.0000 7.2849 1.8306
```